No. 1
This record from the Alexandria database describes Th2VReN6 after structural relaxation. The functional is PBE-GGA.

Magnetic moment in μB/f.u.: 0.0
ΔE_f (raw) in kJ/mol of atoms: -103
DOS at the Fermi energy in states/eV/atom: 0.32

a = 5.5099 Å, b = 5.5555 Å, c = 9.6144 Å
α = 90.00°, β = 124.91°, γ = 90.00°
Last column: nearest neighbours and their distance in Å.
Fractional positions:
Th 0.2482 0.0396 0.2495  6 N 2.43-2.66
Th 0.2482 0.4604 0.7495  6 N 2.43-2.66
Th 0.7518 0.5396 0.2505  6 N 2.43-2.66
Th 0.7518 0.9604 0.7505  6 N 2.43-2.66
V 0.0000 0.0000 0.5000  6 N 1.99-2.00
V 0.0000 0.5000 0.0000  6 N 1.99-2.00
Re 0.5000 0.0000 0.0000  6 N 2.01-2.02
Re 0.5000 0.5000 0.5000  6 N 2.01-2.02
N 0.1703 0.2050 0.9684  1 V 2.00, 1 Re 2.01
N 0.1703 0.2950 0.4684  1 V 2.00, 1 Re 2.01
N 0.2632 0.7023 0.9680  1 V 1.99, 1 Re 2.02
N 0.2632 0.7977 0.4680  1 V 1.99, 1 Re 2.02
N 0.3110 0.0119 0.7483  1 V 1.99, 1 Re 2.02
N 0.3110 0.4881 0.2483  1 V 1.99, 1 Re 2.02
N 0.6890 0.5119 0.7517  1 V 1.99, 1 Re 2.02
N 0.6890 0.9881 0.2517  1 V 1.99, 1 Re 2.02
N 0.7368 0.2023 0.5320  1 V 1.99, 1 Re 2.02
N 0.7368 0.2977 0.0320  1 V 1.99, 1 Re 2.02
N 0.8297 0.7050 0.5316  1 V 2.00, 1 Re 2.01
N 0.8297 0.7950 0.0316  1 V 2.00, 1 Re 2.01



No. 2
This record from the Alexandria database describes CdPW2 after structural relaxation. The functional is PBE-GGA.

E_form in eV/f.u.: 3.20
E above lowest polymorph in kJ/mol of formula units: 211
Magnetic moment in μB/f.u.: 0.0
DOS at the Fermi energy in states/eV/atom: 0.58

a = 4.5494 Å, b = 4.5494 Å, c = 4.5494 Å
α = 60.00°, β = 60.00°, γ = 60.00°
Last column: nearest neighbours and their distance in Å.
Fractional positions:
Cd 0.0000 0.0000 0.0000  4 W 2.79, 4 P 2.79
P 0.2500 0.2500 0.2500  4 Cd 2.79, 4 W 2.79
W 0.5000 0.5000 0.5000  4 W 2.79, 4 P 2.79
W 0.7500 0.7500 0.7500  4 Cd 2.79, 4 W 2.79



No. 3
This record from the Alexandria database describes TaAsPBr2 after structural relaxation. The functional is PBE-GGA.

E above lowest polymorph in kJ/mol of formula units: 0
Magnetic moment in μB/f.u.: 2.5
ΔE_f (raw) in kJ/mol of atoms: 54
DOS at the Fermi energy in states/eV/atom: 0.52

a = 5.0952 Å, b = 5.0952 Å, c = 5.1832 Å
α = 90.00°, β = 90.00°, γ = 90.00°
Last column: nearest neighbours and their distance in Å.
Fractional positions:
Ta 0.0000 0.0000 0.0000  4 Br 2.55, 2 As 2.59
As 0.0000 0.0000 0.5000  2 Ta 2.59
P 0.5000 0.5000 0.5000  4 As 3.60, 8 Br 3.63
Br 0.0000 0.5000 0.0000  2 Ta 2.55
Br 0.5000 0.0000 0.0000  2 Ta 2.55



No. 4
This record from the Alexandria database describes Ca2MgCd5 after structural relaxation. The functional is PBE-GGA.

E_form in eV/f.u.: -1.64
E above lowest polymorph in kJ/mol of formula units: 12
Magnetic moment in μB/f.u.: 0.0
DOS at the Fermi energy in states/eV/atom: 0.54

a = 9.3039 Å, b = 9.3039 Å, c = 10.3582 Å
α = 90.00°, β = 90.00°, γ = 151.69°
Last column: nearest neighbours and their distance in Å.
Fractional positions:
Ca 0.0000 0.0000 0.0000  4 Cd 3.34, 4 Mg 3.52
Ca 0.0000 0.0000 0.5000  4 Cd 3.34, 4 Mg 3.52
Ca 0.1877 0.8123 0.7500  11 Cd 3.35-3.66, 2 Mg 3.52
Ca 0.8123 0.1877 0.2500  11 Cd 3.35-3.66, 2 Mg 3.52
Mg 0.4610 0.5390 0.2500  3 Cd 2.81-2.84
Mg 0.5390 0.4610 0.7500  3 Cd 2.81-2.84
Cd 0.2020 0.7980 0.1020  6 Cd 2.93-3.15
Cd 0.2020 0.7980 0.3980  6 Cd 2.93-3.15
Cd 0.3660 0.6340 0.0316  1 Mg 2.84, 4 Cd 2.93-3.05
Cd 0.3660 0.6340 0.4684  1 Mg 2.84, 4 Cd 2.93-3.05
Cd 0.3833 0.6167 0.7500  1 Mg 2.81, 6 Cd 2.93-3.15
Cd 0.6167 0.3833 0.2500  1 Mg 2.81, 6 Cd 2.93-3.15
Cd 0.6340 0.3660 0.5316  1 Mg 2.84, 4 Cd 2.93-3.05
Cd 0.6340 0.3660 0.9684  1 Mg 2.84, 4 Cd 2.93-3.05
Cd 0.7980 0.2020 0.6020  6 Cd 2.93-3.15
Cd 0.7980 0.2020 0.8980  6 Cd 2.93-3.15



No. 5
This record from the Alexandria database describes Li2HfCl after structural relaxation. The functional is PBE-GGA.

E above lowest polymorph in kJ/mol of formula units: 0
Magnetic moment in μB/f.u.: 0.0
ΔE_f (raw) in kJ/mol of atoms: -4
DOS at the Fermi energy in states/eV/atom: 0.89

a = 5.9070 Å, b = 5.9070 Å, c = 5.9070 Å
α = 100.86°, β = 100.86°, γ = 128.56°
Last column: nearest neighbours and their distance in Å.
Fractional positions:
Li 0.0566 0.6250 0.9316  2 Cl 2.41
Li 0.3750 0.3066 0.4316  2 Cl 2.41
Li 0.6934 0.1250 0.0684  2 Cl 2.41
Li 0.8750 0.9434 0.5684  2 Cl 2.41
Hf 0.2500 0.7500 0.5000  2 Cl 2.56
Hf 0.5000 0.5000 0.0000  2 Cl 2.56
Cl 0.0000 0.0000 0.0000  4 Li 2.41, 2 Hf 2.56
Cl 0.7500 0.2500 0.5000  4 Li 2.41, 2 Hf 2.56



No. 6
This record from the Alexandria database describes GaSi2Se4 after structural relaxation. The functional is PBE-GGA.

Magnetic moment in μB/f.u.: 0.0
ΔE_f (raw) in kJ/mol of atoms: -22
DOS at the Fermi energy in states/eV/atom: 0.46

a = 6.4288 Å, b = 6.4288 Å, c = 6.4288 Å
α = 102.70°, β = 102.70°, γ = 124.09°
Last column: nearest neighbours and their distance in Å.
Fractional positions:
Ga 0.0000 0.0000 0.0000  4 Se 3.17
Si 0.2500 0.7500 0.5000  4 Se 2.37
Si 0.7500 0.2500 0.5000  4 Se 2.37
Se 0.1741 0.6457 0.8198  2 Si 2.37
Se 0.3543 0.1741 0.5284  2 Si 2.37
Se 0.6457 0.8259 0.4716  2 Si 2.37
Se 0.8259 0.3543 0.1802  2 Si 2.37